--- A ---
{
  "formula": "La2Pm2Tm5",
  "functional": "PBE",
  "state": "optimized geometry",
  "volume_a3_per_cell": 601,
  "total_magnetization_mub_per_cell": 0.00,
  "lattice_angstrom": [[-7.494, 5.968, 3.360], [7.494, -5.968, 3.360], [7.494, 5.968, -3.360]],
  "species": ["La", "La", "La", "La", "Pm", "Pm", "Pm", "Pm", "Tm", "Tm", "Tm", "Tm", "Tm", "Tm", "Tm", "Tm", "Tm", "Tm"],
  "frac_coords": [[0.000, 0.000, 0.000], [0.000, 0.500, 0.500], [0.891, 0.651, 0.740], [0.911, 0.151, 0.260], [0.442, 0.574, 0.121], [0.442, 0.821, 0.368], [0.453, 0.074, 0.632], [0.453, 0.321, 0.879], [0.042, 0.357, 0.794], [0.042, 0.748, 0.186], [0.342, 0.248, 0.376], [0.342, 0.466, 0.594], [0.355, 0.850, 0.005], [0.562, 0.248, 0.206], [0.562, 0.857, 0.814], [0.845, 0.350, 0.995], [0.872, 0.748, 0.406], [0.872, 0.966, 0.624]]
}

=====

--- B ---
{
  "formula": "La2Pm2Tm5",
  "functional": "PBE",
  "state": "optimized geometry",
  "volume_a3_per_cell": 309,
  "total_magnetization_mub_per_cell": 0.00,
  "lattice_angstrom": [[10.766, -1.748, 0.000], [10.766, 1.748, 0.000], [-1.535, 0.000, 8.214]],
  "species": ["La", "La", "Pm", "Pm", "Tm", "Tm", "Tm", "Tm", "Tm"],
  "frac_coords": [[0.183, 0.183, 0.143], [0.817, 0.817, 0.857], [0.455, 0.455, 0.645], [0.545, 0.545, 0.355], [0.000, 0.000, 0.000], [0.100, 0.100, 0.735], [0.309, 0.309, 0.472], [0.691, 0.691, 0.528], [0.900, 0.900, 0.265]]
}

=====

Least stable: B

=====

--- A ---
{
  "formula": "LaPmTm6",
  "functional": "PBE",
  "state": "optimized geometry",
  "volume_a3_per_cell": 507,
  "total_magnetization_mub_per_cell": 0.00,
  "lattice_angstrom": [[7.563, 0.000, 0.000], [0.000, 11.589, 0.000], [0.000, 0.000, 5.780]],
  "species": ["La", "La", "Pm", "Pm", "Tm", "Tm", "Tm", "Tm", "Tm", "Tm", "Tm", "Tm", "Tm", "Tm", "Tm", "Tm"],
  "frac_coords": [[0.000, 0.000, 0.000], [0.500, 0.500, 0.000], [0.000, 0.500, 0.000], [0.500, 0.000, 0.000], [0.000, 0.247, 0.500], [0.000, 0.753, 0.500], [0.243, 0.500, 0.500], [0.250, 0.250, 0.000], [0.250, 0.750, 0.000], [0.257, 0.000, 0.500], [0.500, 0.253, 0.500], [0.500, 0.747, 0.500], [0.743, 0.000, 0.500], [0.750, 0.250, 0.000], [0.750, 0.750, 0.000], [0.757, 0.500, 0.500]]
}

=====

--- B ---
{
  "formula": "LaPmTm6",
  "functional": "PBE",
  "state": "optimized geometry",
  "volume_a3_per_cell": 280,
  "total_magnetization_mub_per_cell": 0.01,
  "lattice_angstrom": [[4.309, 2.488, 4.361], [-4.309, 2.488, 4.361], [0.000, -4.975, 4.361]],
  "species": ["La", "Pm", "Tm", "Tm", "Tm", "Tm", "Tm", "Tm"],
  "frac_coords": [[0.000, 0.000, 0.000], [0.500, 0.500, 0.500], [0.154, 0.154, 0.518], [0.154, 0.518, 0.154], [0.482, 0.846, 0.846], [0.518, 0.154, 0.154], [0.846, 0.482, 0.846], [0.846, 0.846, 0.482]]
}

=====

Least stable: B

=====

--- A ---
{
  "formula": "La3Pm2Tm2",
  "functional": "PBE",
  "state": "optimized geometry",
  "volume_a3_per_cell": 481,
  "total_magnetization_mub_per_cell": 0.00,
  "lattice_angstrom": [[17.876, 0.000, 0.000], [0.000, 3.543, 0.000], [-4.157, 0.000, 7.595]],
  "species": ["La", "La", "La", "La", "La", "La", "Pm", "Pm", "Pm", "Pm", "Tm", "Tm", "Tm", "Tm"],
  "frac_coords": [[0.000, 0.000, 0.000], [0.214, 0.000, 0.291], [0.286, 0.500, 0.709], [0.500, 0.500, 0.000], [0.714, 0.500, 0.291], [0.786, 0.000, 0.709], [0.065, 0.500, 0.413], [0.435, 0.000, 0.587], [0.565, 0.000, 0.413], [0.935, 0.500, 0.587], [0.144, 0.000, 0.828], [0.356, 0.500, 0.172], [0.644, 0.500, 0.828], [0.856, 0.000, 0.172]]
}

=====

--- B ---
{
  "formula": "La3Pm2Tm2",
  "functional": "PBE",
  "state": "optimized geometry",
  "volume_a3_per_cell": 478,
  "total_magnetization_mub_per_cell": 0.00,
  "lattice_angstrom": [[12.089, 0.000, 0.000], [0.000, 3.660, 0.000], [-1.151, 0.000, 10.812]],
  "species": ["La", "La", "La", "La", "La", "La", "Pm", "Pm", "Pm", "Pm", "Tm", "Tm", "Tm", "Tm"],
  "frac_coords": [[0.000, 0.000, 0.000], [0.143, 0.000, 0.571], [0.357, 0.500, 0.429], [0.500, 0.500, 0.000], [0.643, 0.500, 0.571], [0.857, 0.000, 0.429], [0.216, 0.500, 0.857], [0.284, 0.000, 0.143], [0.716, 0.000, 0.857], [0.784, 0.500, 0.143], [0.072, 0.500, 0.285], [0.428, 0.000, 0.715], [0.572, 0.000, 0.285], [0.928, 0.500, 0.715]]
}

=====

Least stable: A

=====

--- A ---
{
  "formula": "La3Pm4Tm",
  "functional": "PBE",
  "state": "optimized geometry",
  "volume_a3_per_cell": 565,
  "total_magnetization_mub_per_cell": 0.00,
  "lattice_angstrom": [[3.555, 0.000, 0.000], [0.000, 11.952, 0.000], [0.000, 0.000, 13.289]],
  "species": ["La", "La", "La", "La", "La", "La", "Pm", "Pm", "Pm", "Pm", "Pm", "Pm", "Pm", "Pm", "Tm", "Tm"],
  "frac_coords": [[0.000, 0.000, 0.000], [0.000, 0.500, 0.242], [0.000, 0.500, 0.758], [0.500, 0.000, 0.258], [0.500, 0.000, 0.742], [0.500, 0.500, 0.500], [0.000, 0.246, 0.367], [0.000, 0.246, 0.633], [0.000, 0.754, 0.367], [0.000, 0.754, 0.633], [0.500, 0.254, 0.133], [0.500, 0.254, 0.867], [0.500, 0.746, 0.133], [0.500, 0.746, 0.867], [0.000, 0.000, 0.500], [0.500, 0.500, 0.000]]
}

=====

--- B ---
{
  "formula": "La3Pm4Tm",
  "functional": "PBE",
  "state": "optimized geometry",
  "volume_a3_per_cell": 563,
  "total_magnetization_mub_per_cell": 0.00,
  "lattice_angstrom": [[11.844, 0.000, 0.000], [0.000, 7.417, 0.000], [0.000, 0.000, 6.410]],
  "species": ["La", "La", "La", "La", "La", "La", "Pm", "Pm", "Pm", "Pm", "Pm", "Pm", "Pm", "Pm", "Tm", "Tm"],
  "frac_coords": [[0.000, 0.127, 0.000], [0.250, 0.123, 0.669], [0.250, 0.877, 0.169], [0.500, 0.873, 0.500], [0.750, 0.123, 0.669], [0.750, 0.877, 0.169], [0.000, 0.376, 0.499], [0.000, 0.625, 0.002], [0.247, 0.625, 0.667], [0.253, 0.375, 0.167], [0.500, 0.375, 0.502], [0.500, 0.624, 0.999], [0.747, 0.375, 0.167], [0.753, 0.625, 0.667], [0.000, 0.872, 0.503], [0.500, 0.128, 0.003]]
}

=====

Least stable: A

=====

--- A ---
{
  "formula": "La7Pm2Tm",
  "functional": "PBE",
  "state": "optimized geometry",
  "volume_a3_per_cell": 372,
  "total_magnetization_mub_per_cell": 0.00,
  "lattice_angstrom": [[6.083, -8.550, 0.000], [6.083, 8.550, 0.000], [0.000, 0.000, 3.579]],
  "species": ["La", "La", "La", "La", "La", "La", "La", "Pm", "Pm", "Tm"],
  "frac_coords": [[0.000, 0.000, 0.000], [0.119, 0.374, 0.000], [0.182, 0.818, 0.500], [0.374, 0.119, 0.000], [0.626, 0.881, 0.000], [0.818, 0.182, 0.500], [0.881, 0.626, 0.000], [0.333, 0.667, 0.000], [0.667, 0.333, 0.000], [0.500, 0.500, 0.500]]
}

=====

--- B ---
{
  "formula": "La7Pm2Tm",
  "functional": "PBE",
  "state": "optimized geometry",
  "volume_a3_per_cell": 413,
  "total_magnetization_mub_per_cell": 0.02,
  "lattice_angstrom": [[4.496, -8.178, 0.000], [4.496, 8.178, 0.000], [0.000, 0.000, 5.620]],
  "species": ["La", "La", "La", "La", "La", "La", "La", "Pm", "Pm", "Tm"],
  "frac_coords": [[0.000, 0.000, 0.000], [0.201, 0.427, 0.000], [0.261, 0.739, 0.500], [0.427, 0.201, 0.000], [0.573, 0.799, 0.000], [0.739, 0.261, 0.500], [0.799, 0.573, 0.000], [0.202, 0.798, 0.000], [0.798, 0.202, 0.000], [0.500, 0.500, 0.500]]
}

=====

Least stable: B

=====

--- A ---
{
  "formula": "LaPm6Tm2",
  "functional": "PBE",
  "state": "optimized geometry",
  "volume_a3_per_cell": 304,
  "total_magnetization_mub_per_cell": 0.00,
  "lattice_angstrom": [[3.633, 0.000, 0.000], [1.790, 9.413, 0.000], [1.776, 3.150, 8.878]],
  "species": ["La", "Pm", "Pm", "Pm", "Pm", "Pm", "Pm", "Tm", "Tm"],
  "frac_coords": [[0.000, 0.000, 0.000], [0.113, 0.441, 0.334], [0.331, 0.333, 0.004], [0.441, 0.780, 0.336], [0.559, 0.220, 0.664], [0.669, 0.667, 0.996], [0.887, 0.559, 0.666], [0.224, 0.891, 0.662], [0.776, 0.109, 0.338]]
}

=====

--- B ---
{
  "formula": "LaPm6Tm2",
  "functional": "PBE",
  "state": "optimized geometry",
  "volume_a3_per_cell": 304,
  "total_magnetization_mub_per_cell": 0.88,
  "lattice_angstrom": [[7.543, 0.000, 0.000], [-3.772, 6.533, 0.000], [0.000, 0.000, 6.159]],
  "species": ["La", "Pm", "Pm", "Pm", "Pm", "Pm", "Pm", "Tm", "Tm"],
  "frac_coords": [[0.000, 0.000, 0.000], [0.187, 0.374, 0.710], [0.187, 0.813, 0.710], [0.374, 0.187, 0.290], [0.626, 0.813, 0.710], [0.813, 0.187, 0.290], [0.813, 0.626, 0.290], [0.333, 0.667, 0.220], [0.667, 0.333, 0.780]]
}

=====

Least stable: B